[1]
Compound: Zr6FeOs5
Source: Alexandria
Functional: PBE
Structure: relaxed

a b c (Å): 4.638 13.908 6.538
angles (deg): 90.00 90.00 90.00
Space group Cmmm (No. 65)
Inequivalent atoms, fractional coordinates:
Zr 0.000 0.000 0.247
Zr 0.000 0.335 0.249
Fe 0.000 0.500 0.000
Os 0.000 0.166 0.000
Os 0.000 0.167 0.500
Os 0.000 0.500 0.500

Results
calculated total energy = -10.129 eV per atom
D(E_F) = 0.27 states/eV per atom

=====

[2]
Compound: BaLi2P
Source: Alexandria
Functional: PBE
Structure: relaxed

a b c (Å): 4.910 4.478 4.943
angles (deg): 90.00 98.85 90.00
Space group P2/m (No. 10)
Inequivalent atoms, fractional coordinates:
Ba 0.000 0.000 0.000
Li 0.354 0.500 0.662
P 0.500 0.000 0.500

Results
calculated total energy = -3.234 eV per atom
D(E_F) = 0.46 states/eV per atom

=====

[3]
Compound: CrFe2ReAg
Source: Alexandria
Functional: PBE
Structure: relaxed

a b c (Å): 4.288 4.288 4.446
angles (deg): 90.00 90.00 90.00
Space group P4/mmm (No. 123)
Inequivalent atoms, fractional coordinates:
Cr 0.000 0.000 0.000
Fe 0.000 0.500 0.000
Re 0.000 0.000 0.500
Ag 0.500 0.500 0.500

Results
calculated total energy = -7.081 eV per atom
D(E_F) = 0.77 states/eV per atom

=====

[4]
Compound: LaAl2TeMo
Source: Alexandria
Functional: PBE
Structure: relaxed

a b c (Å): 4.965 4.965 5.313
angles (deg): 90.00 90.00 90.00
Space group P4/mmm (No. 123)
Inequivalent atoms, fractional coordinates:
La 0.000 0.000 0.000
Al 0.000 0.500 0.500
Te 0.500 0.500 0.000
Mo 0.000 0.000 0.500

Results
E_form (uncorrected) = 0.101 eV/atom
D(E_F) = 0.64 states/eV per atom

=====

[5]
Compound: SrAgTe
Source: Alexandria
Functional: PBE
Structure: relaxed

a b c (Å): 11.633 4.633 8.127
angles (deg): 90.00 115.66 90.00
Space group Cm (No. 8)
Inequivalent atoms, fractional coordinates:
Sr 0.000 0.000 0.000
Sr 0.150 0.000 0.616
Ag 0.207 0.500 0.001
Ag 0.353 0.000 0.144
Te 0.133 0.500 0.313
Te 0.464 0.000 0.684

Results
E_form (uncorrected) = -0.820 eV/atom
E above lowest polymorph = 0.30 eV per formula unit
D(E_F) = 0.31 states/eV per atom

=====

[6]
Compound: LaCuAu
Source: Alexandria
Functional: PBE
Structure: relaxed

a b c (Å): 6.642 6.642 6.642
angles (deg): 90.00 90.00 90.00
Space group F-43m (No. 216)
Inequivalent atoms, fractional coordinates:
La 0.000 0.000 0.000
Cu 0.250 0.250 0.750
Au 0.000 0.000 0.500

Results
calculated total energy = -4.478 eV per atom
D(E_F) = 0.93 states/eV per atom

=====

[7]
Compound: BaNb3Sb
Source: Alexandria
Functional: PBE
Structure: relaxed

a b c (Å): 5.245 5.245 5.245
angles (deg): 90.00 90.00 90.00
Space group Pm-3m (No. 221)
Inequivalent atoms, fractional coordinates:
Ba 0.000 0.000 0.000
Nb 0.000 0.500 0.500
Sb 0.500 0.500 0.500

Results
E_form (uncorrected) = 1.211 eV/atom
E above lowest polymorph = 0.00 eV per formula unit
D(E_F) = 1.51 states/eV per atom

=====

[8]
Compound: Cs2NaTe2
Source: Alexandria
Functional: PBE
Structure: relaxed

a b c (Å): 14.526 5.417 12.993
angles (deg): 90.00 111.91 90.00
Space group C2/m (No. 12)
Inequivalent atoms, fractional coordinates:
Cs 0.006 0.000 0.345
Cs 0.177 0.000 0.097
Na 0.230 0.500 0.397
Te 0.018 0.500 0.900
Te 0.170 0.500 0.602

Results
E_form (uncorrected) = -0.914 eV/atom
E above lowest polymorph = 0.00 eV per formula unit

=====

[9]
Compound: LiMo3Pb
Source: Alexandria
Functional: PBE
Structure: relaxed

a b c (Å): 5.074 5.074 5.074
angles (deg): 90.00 90.00 90.00
Space group Pm-3m (No. 221)
Inequivalent atoms, fractional coordinates:
Li 0.000 0.000 0.000
Mo 0.000 0.500 0.500
Pb 0.500 0.500 0.500

Results
E above lowest polymorph = 6.11 eV per formula unit
D(E_F) = 1.92 states/eV per atom

=====

[10]
Compound: KNiAg2Br8
Source: Alexandria
Functional: PBE
Structure: relaxed

a b c (Å): 6.164 6.354 9.877
angles (deg): 87.51 73.40 86.82
Space group P-1 (No. 2)
Inequivalent atoms, fractional coordinates:
K 0.000 0.000 0.000
Ni 0.000 0.000 0.500
Ag 0.434 0.487 0.694
Br 0.126 0.803 0.683
Br 0.255 0.287 0.504
Br 0.264 0.491 0.975
Br 0.280 0.846 0.297

Results
E_form (uncorrected) = -0.430 eV/atom
D(E_F) = 0.51 states/eV per atom

=====

[11]
Compound: Tb3Dy2YTe6
Source: Alexandria
Functional: PBE
Structure: relaxed

a b c (Å): 19.020 4.349 8.767
angles (deg): 90.00 103.29 90.00
Space group C2/m (No. 12)
Inequivalent atoms, fractional coordinates:
Tb 0.000 0.000 0.000
Tb 0.166 0.500 0.333
Dy 0.167 0.500 0.833
Y 0.000 0.000 0.500
Te 0.001 0.500 0.750
Te 0.167 0.000 0.082
Te 0.167 0.000 0.584

Results
E_form (uncorrected) = -1.300 eV/atom
D(E_F) = 0.52 states/eV per atom

=====

[12]
Compound: NaAsI2
Source: Alexandria
Functional: PBE
Structure: relaxed

a b c (Å): 6.101 6.101 17.658
angles (deg): 90.00 90.00 90.00
Space group I-42d (No. 122)
Inequivalent atoms, fractional coordinates:
Na 0.000 0.000 0.000
As 0.000 0.000 0.500
I 0.202 0.250 0.625

Results
E_form (uncorrected) = -0.198 eV/atom
E above lowest polymorph = 0.00 eV per formula unit
D(E_F) = 0.00 states/eV per atom